Material: Ca3ScGa4
Method: DFT, PBE
State: relaxed

Cell lengths 3.5566, 3.5566, 14.6018 Å; angles 90.00, 90.00, 90.00 degrees
Positions (direct):
1 Ca 0.5000 0.5000 0.5000
2 Sc 0.5000 0.5000 0.0000
3 Ca 0.5000 0.5000 0.2398
4 Ga 0.0000 0.0000 0.1045
5 Ga 0.0000 0.0000 0.8955
6 Ca 0.5000 0.5000 0.7602
7 Ga 0.0000 0.0000 0.3697
8 Ga 0.0000 0.0000 0.6303

Values from the calculation:
Formation energy (eV per formula unit): -3.74